## K3PuBi2Se6 (PBE)

Data for a geometry-optimized K3PuBi2Se6 structure.

Summary:
Calculated volume ... 31.19 Å³ per atom
E ... -58.413 eV/f.u.
Spin magnetization ... 5.0 μB per cell
Formation energy without anion corrections ... -1010 meV per atom

abc: 7.494 7.494 8.092
angles: 98.87 98.87 120.01
Site moments in Bohr magnetons follow the coordinates.
Atoms (fractional coordinates):
K (0.169, 0.831, 0.500)  0.00
K (0.831, 0.169, 0.500)  0.00
K (0.500, 0.500, 0.500)  0.00
Pu (0.000, 0.000, 0.000)  -5.10
Bi (0.334, 0.666, 0.000)  -0.01
Bi (0.666, 0.334, 0.000)  -0.01
Se (0.930, 0.600, 0.790)  0.03
Se (0.740, 0.740, 0.211)  0.03
Se (0.070, 0.400, 0.210)  0.03
Se (0.600, 0.930, 0.790)  0.03
Se (0.260, 0.260, 0.789)  0.03
Se (0.400, 0.070, 0.210)  0.03

## Tb3PrDy6Tm2 (PBE)

Data for a geometry-optimized Tb3PrDy6Tm2 structure.

Summary:
Calculated volume ... 31.62 Å³ per atom
E ... -55.018 eV/f.u.
ΔE_f ... 0.208 eV/f.u.
Spin magnetization ... 0.0 μB per cell

abc: 6.145 6.145 11.777
angles: 94.96 94.96 119.95
Atoms (fractional coordinates):
Tb (0.167, 0.833, 0.500)
Tb (0.833, 0.167, 0.500)
Tb (0.500, 0.500, 0.500)
Pr (0.000, 0.000, 0.000)
Dy (0.916, 0.581, 0.750)
Dy (0.750, 0.750, 0.250)
Dy (0.084, 0.419, 0.250)
Dy (0.581, 0.916, 0.750)
Dy (0.250, 0.250, 0.750)
Dy (0.419, 0.084, 0.250)
Tm (0.333, 0.667, 0.000)
Tm (0.667, 0.333, 0.000)

## NaCdCu2Cl6 (PBE)

Data for a geometry-optimized NaCdCu2Cl6 structure.

Summary:
Calculated volume ... 24.24 Å³ per atom
E ... -30.656 eV/f.u.
Spin magnetization ... 2.2 μB per cell
Formation energy without anion corrections ... -915 meV per atom

abc: 6.694 8.580 8.580
angles: 87.75 82.74 82.74
Site moments in Bohr magnetons follow the coordinates.
Atoms (fractional coordinates):
Na (0.250, 0.911, 0.089)  0.00
Na (0.750, 0.089, 0.911)  0.00
Cd (0.250, 0.271, 0.729)  0.00
Cd (0.750, 0.729, 0.271)  0.00
Cu (0.202, 0.774, 0.600)  0.36
Cu (0.298, 0.400, 0.226)  0.36
Cu (0.798, 0.226, 0.400)  0.36
Cu (0.702, 0.600, 0.774)  0.36
Cl (0.139, 0.975, 0.781)  0.03
Cl (0.361, 0.219, 0.025)  0.03
Cl (0.861, 0.025, 0.219)  0.03
Cl (0.639, 0.781, 0.975)  0.03
Cl (0.393, 0.856, 0.381)  0.04
Cl (0.107, 0.619, 0.144)  0.04
Cl (0.607, 0.144, 0.619)  0.04
Cl (0.893, 0.381, 0.856)  0.04
Cl (0.888, 0.710, 0.561)  0.07
Cl (0.612, 0.439, 0.290)  0.07
Cl (0.112, 0.290, 0.439)  0.07
Cl (0.388, 0.561, 0.710)  0.07

## Pm4SmDy2Er (PBE)

Data for a geometry-optimized Pm4SmDy2Er structure.

Summary:
Calculated volume ... 32.99 Å³ per atom
E ... -37.359 eV/f.u.
ΔE_f ... 0.130 eV/f.u.
Spin magnetization ... 0.0 μB per cell

abc: 3.611 6.237 11.906
angles: 79.79 90.00 90.00
Atoms (fractional coordinates):
Pm (0.000, 0.751, 0.748)
Pm (0.000, 0.249, 0.252)
Pm (0.500, 0.750, 0.251)
Pm (0.500, 0.250, 0.749)
Sm (0.500, 0.500, 0.000)
Dy (0.000, 0.000, 0.000)
Dy (0.500, 0.000, 0.500)
Er (0.000, 0.500, 0.500)

## Pr2MgPd4 (PBE)

Data for a geometry-optimized Pr2MgPd4 structure.

Summary:
Calculated volume ... 23.65 Å³ per atom
E ... -34.335 eV/f.u.
ΔE_f ... -2.411 eV/f.u.
Spin magnetization ... 0.0 μB per cell

abc: 4.700 4.700 8.200
angles: 106.65 106.65 90.00
Atoms (fractional coordinates):
Pr (0.358, 0.358, 0.715)
Pr (0.642, 0.642, 0.285)
Mg (0.000, 0.000, 0.000)
Pd (0.167, 0.167, 0.334)
Pd (0.833, 0.833, 0.666)
Pd (0.000, 0.500, 0.000)
Pd (0.500, 0.000, 0.000)

## CaGdEr (PBE)

Data for a geometry-optimized CaGdEr structure.

Summary:
Calculated volume ... 34.39 Å³ per atom
E above lowest polymorph ... 4.2 meV per atom
E ... -20.424 eV/f.u.
ΔE_f ... 0.221 eV/f.u.
Spin magnetization ... 7.7 μB per cell

abc: 3.624 3.624 9.068
angles: 90.00 90.00 120.00
Site moments in Bohr magnetons follow the coordinates.
Atoms (fractional coordinates):
Ca (0.000, 0.000, 0.997)  0.01
Gd (0.667, 0.333, 0.350)  7.24
Er (0.333, 0.667, 0.654)  0.05

## YSiNi4 (PBE)

Data for a geometry-optimized YSiNi4 structure.

Summary:
Calculated volume ... 13.85 Å³ per atom
E above lowest polymorph ... 145.1 meV per atom
E ... -37.779 eV/f.u.
Spin magnetization ... 0.0 μB per cell
Formation energy without anion corrections ... -461 meV per atom

abc: 3.680 6.241 7.467
angles: 90.00 104.26 90.00
Atoms (fractional coordinates):
Y (0.104, 0.250, 0.209)
Y (0.896, 0.750, 0.791)
Si (0.236, 0.750, 0.471)
Si (0.764, 0.250, 0.529)
Ni (0.500, 0.500, 0.000)
Ni (0.500, 0.000, 0.000)
Ni (0.682, 0.943, 0.364)
Ni (0.318, 0.057, 0.636)
Ni (0.318, 0.443, 0.636)
Ni (0.682, 0.557, 0.364)
Ni (0.082, 0.750, 0.164)
Ni (0.918, 0.250, 0.836)

## KCa2Cu2 (PBE)

Data for a geometry-optimized KCa2Cu2 structure.

Summary:
Calculated volume ... 30.17 Å³ per atom
E above lowest polymorph ... 59.1 meV per atom
E ... -12.560 eV/f.u.
ΔE_f ... 0.733 eV/f.u.
Spin magnetization ... 0.0 μB per cell

abc: 5.041 5.041 6.925
angles: 68.66 68.66 90.00
Atoms (fractional coordinates):
Ca (0.750, 0.250, 0.500)
Ca (0.250, 0.750, 0.500)
K (0.000, 0.000, 0.000)
Cu (0.396, 0.396, 0.208)
Cu (0.604, 0.604, 0.792)